[1]
Compound: BaSrGe3
Source: Alexandria
Functional: GGA-PBE
Structure: optimized geometry

Summary:
Total magnetic moment in μB/f.u.: 0.00
Total energy in eV/atom: -2.85
DFT formation energy in eV/f.u.: 3.19
SG: No. 221
Energy above the most stable polymorph in this dataset in eV per atom: 1.176

Lattice parameters (Å, degrees): 5.7589 5.7589 5.7589 90.00 90.00 90.00
Fractional positions:
Ba  0.0000  0.0000  0.0000
Sr  0.5000  0.5000  0.5000
Ge  0.0000  0.0000  0.5000
Ge  0.0000  0.5000  0.0000
Ge  0.5000  0.0000  0.0000

[2]
Compound: BaSrGe
Source: Alexandria
Functional: GGA-PBE
Structure: optimized geometry

Summary:
Total magnetic moment in μB/f.u.: 0.00
Total energy in eV/atom: -3.06
DFT formation energy in eV/f.u.: -0.96
SG: No. 156

Lattice parameters (Å, degrees): 5.1177 5.1177 5.8455 90.00 90.00 120.00
Fractional positions:
Ba  0.0000  0.0000  0.0000
Sr  0.6667  0.3333  0.4704
Ge  0.3333  0.6667  0.2768

[3]
Compound: BaSr2Ge6
Source: Alexandria
Functional: GGA-PBE
Structure: optimized geometry

Summary:
Total magnetic moment in μB/f.u.: 0.00
Total energy in eV/atom: -4.02
DFT formation energy in eV/f.u.: -3.23
SG: No. 71

Lattice parameters (Å, degrees): 8.0603 8.0603 8.0603 149.01 102.56 85.71
Fractional positions:
Ba  0.0000  0.0000  0.0000
Sr  0.3452  0.8452  0.5000
Sr  0.6548  0.1548  0.5000
Ge  0.0458  0.3216  0.7241
Ge  0.3547  0.5000  0.8547
Ge  0.4025  0.6784  0.7241
Ge  0.5975  0.3216  0.2759
Ge  0.6453  0.5000  0.1453
Ge  0.9542  0.6784  0.2759

[4]
Compound: BaSr2Ge
Source: Alexandria
Functional: GGA-PBE
Structure: optimized geometry

Summary:
Total magnetic moment in μB/f.u.: 0.01
Total energy in eV/atom: -2.81
DFT formation energy in eV/f.u.: -1.32
SG: No. 63

Lattice parameters (Å, degrees): 7.5924 7.5924 9.9312 90.00 90.00 143.12
Fractional positions:
Ba  0.0718  0.9282  0.7500
Ba  0.9282  0.0718  0.2500
Sr  0.3448  0.6552  0.5647
Sr  0.3448  0.6552  0.9353
Sr  0.6552  0.3448  0.0647
Sr  0.6552  0.3448  0.4353
Ge  0.2483  0.7517  0.2500
Ge  0.7517  0.2483  0.7500

[5]
Compound: BaSr2Ge
Source: Alexandria
Functional: GGA-PBE
Structure: optimized geometry

Summary:
Total magnetic moment in μB/f.u.: 0.00
Total energy in eV/atom: -2.66
DFT formation energy in eV/f.u.: -0.72
SG: No. 166

Lattice parameters (Å, degrees): 10.0251 10.0251 10.0251 28.48 28.48 28.48
Fractional positions:
Ba  0.0000  0.0000  0.0000
Sr  0.2137  0.2137  0.2137
Sr  0.7863  0.7863  0.7863
Ge  0.5000  0.5000  0.5000

[6]
Compound: BaSrGe
Source: Alexandria
Functional: GGA-PBE
Structure: optimized geometry

Summary:
Total magnetic moment in μB/f.u.: 0.00
Total energy in eV/atom: -3.24
DFT formation energy in eV/f.u.: -1.50
SG: No. 129

Lattice parameters (Å, degrees): 5.2942 5.2942 8.1915 90.00 90.00 90.00
Fractional positions:
Ba  0.2500  0.2500  0.1264
Ba  0.7500  0.7500  0.8736
Sr  0.2500  0.7500  0.5000
Sr  0.7500  0.2500  0.5000
Ge  0.2500  0.2500  0.7292
Ge  0.7500  0.7500  0.2708